[1]
DFT (PBE-GGA) results for a geometry-optimized ZrTiAs structure.

Unit cell a=9.5731 b=9.5731 c=9.5731 alpha=158.34 beta=158.34 gamma=30.82
With the nearest neighbours (Å) after each atom.
Positions (direct):
Zr 0.0000 0.0000 0.0000  4 As 2.74
Zr 0.7500 0.2500 0.5000  4 As 2.74
Ti 0.1566 0.6566 0.5000  3 As 2.60-2.74
Ti 0.4066 0.4066 0.0000  3 As 2.60-2.74
As 0.3049 0.8049 0.5000  3 Ti 2.60-2.74, 4 Zr 2.74
As 0.5549 0.5549 0.0000  3 Ti 2.60-2.74, 4 Zr 2.74

Values from the calculation:
Space group ... No. 109

[2]
DFT (PBE-GGA) results for a geometry-optimized YBiRh structure.

Unit cell a=6.3599 b=6.3599 c=6.3599 alpha=148.44 beta=148.44 gamma=45.23
With the nearest neighbours (Å) after each atom.
Positions (direct):
Y 0.0000 0.0000 0.0000  4 Rh 2.92
Bi 0.2895 0.2895 0.0000  4 Rh 3.04, 1 Y 3.40
Rh 0.6354 0.6354 0.0000  4 Y 2.92, 4 Bi 3.04

Values from the calculation:
Space group ... No. 107

[3]
DFT (PBE-GGA) results for a geometry-optimized TcNi2Pt structure.

Unit cell a=5.7712 b=5.7712 c=8.8359 alpha=126.70 beta=126.70 gamma=26.72
With the nearest neighbours (Å) after each atom.
Positions (direct):
Tc 0.0556 0.0556 0.1734  3 Tc 2.50-2.67, 6 Ni 2.57-2.63, 2 Pt 2.73
Tc 0.9444 0.9444 0.8266  3 Tc 2.50-2.67, 6 Ni 2.57-2.63, 2 Pt 2.73
Ni 0.3111 0.3111 0.9416  7 Ni 2.52-2.67, 4 Tc 2.57-2.63, 1 Pt 2.66
Ni 0.4331 0.4331 0.2948  5 Ni 2.52-2.67, 2 Tc 2.58, 4 Pt 2.60-2.67
Ni 0.5669 0.5669 0.7052  5 Ni 2.52-2.67, 2 Tc 2.58, 4 Pt 2.60-2.67
Ni 0.6889 0.6889 0.0584  7 Ni 2.52-2.67, 4 Tc 2.57-2.63, 1 Pt 2.66
Pt 0.1811 0.1811 0.5690  5 Ni 2.60-2.67, 4 Pt 2.67-2.82, 3 Tc 2.73-2.86
Pt 0.8189 0.8189 0.4310  5 Ni 2.60-2.67, 4 Pt 2.67-2.82, 3 Tc 2.73-2.86

Values from the calculation:
Space group ... No. 12

[4]
DFT (PBE-GGA) results for a geometry-optimized Li4In5Pt structure.

Unit cell a=3.4370 b=3.4370 c=16.2502 alpha=90.00 beta=90.00 gamma=90.00
With the nearest neighbours (Å) after each atom.
Positions (direct):
Li 0.0000 0.0000 0.1020  8 In 2.94
Li 0.0000 0.0000 0.3072  8 In 2.90-2.95, 1 Pt 3.13
Li 0.0000 0.0000 0.6928  8 In 2.90-2.95, 1 Pt 3.13
Li 0.0000 0.0000 0.8980  8 In 2.94
In 0.5000 0.5000 0.0000  8 Li 2.94
In 0.5000 0.5000 0.2042  8 Li 2.94-2.95, 1 In 3.26
In 0.5000 0.5000 0.4046  4 Pt 2.88, 4 Li 2.90, 1 In 3.10
In 0.5000 0.5000 0.5954  4 Pt 2.88, 4 Li 2.90, 1 In 3.10
In 0.5000 0.5000 0.7958  8 Li 2.94-2.95, 1 In 3.26
Pt 0.0000 0.0000 0.5000  8 In 2.88, 2 Li 3.13

Values from the calculation:
Space group ... No. 123

[5]
DFT (PBE-GGA) results for a geometry-optimized LiY2F7 structure.

Unit cell a=10.4869 b=10.4869 c=10.4869 alpha=21.78 beta=21.78 gamma=21.78
With the nearest neighbours (Å) after each atom.
Positions (direct):
Li 0.0000 0.0000 0.0000  8 F 2.32-2.42
Y 0.4279 0.4279 0.4279  8 F 2.13-2.36
Y 0.5721 0.5721 0.5721  8 F 2.13-2.36
F 0.0757 0.0757 0.0757  1 Li 2.32, 3 Y 2.36, 3 F 2.52
F 0.2232 0.2232 0.2232  3 Y 2.34, 3 F 2.52
F 0.3585 0.3585 0.3585  1 Y 2.13
F 0.5000 0.5000 0.5000  2 Y 2.21
F 0.6415 0.6415 0.6415  1 Y 2.13
F 0.7768 0.7768 0.7768  3 Y 2.34, 3 F 2.52
F 0.9243 0.9243 0.9243  1 Li 2.32, 3 Y 2.36, 3 F 2.52

Values from the calculation:
Space group ... No. 166
Formation energy (no corrections) ... -3798 meV per atom

[6]
DFT (PBE-GGA) results for a geometry-optimized HoScHgPd structure.

Unit cell a=3.4189 b=3.4189 c=7.3849 alpha=90.00 beta=90.00 gamma=90.00
With the nearest neighbours (Å) after each atom.
Positions (direct):
Ho 0.0000 0.0000 0.0000  4 Pd 3.05, 4 Hg 3.24, 1 Sc 3.34
Sc 0.0000 0.0000 0.4526  4 Pd 2.83, 4 Hg 3.06
Hg 0.5000 0.5000 0.7069  4 Sc 3.06, 4 Ho 3.24, 1 Pd 3.36, 4 Hg 3.42
Pd 0.5000 0.5000 0.2523  4 Sc 2.83, 4 Ho 3.05

Values from the calculation:
Space group ... No. 99

[7]
DFT (PBE-GGA) results for a geometry-optimized ZrZn2Te structure.

Unit cell a=5.4005 b=5.4005 c=5.4005 alpha=134.91 beta=134.91 gamma=65.67
With the nearest neighbours (Å) after each atom.
Positions (direct):
Zr 0.0000 0.0000 0.0000  8 Zn 2.93-3.07, 4 Te 3.07
Zn 0.2500 0.7500 0.5000  4 Te 2.93, 4 Zr 3.07, 4 Zn 3.07
Zn 0.5000 0.5000 0.0000  4 Zr 2.93, 4 Te 3.07, 4 Zn 3.07
Te 0.7500 0.2500 0.5000  8 Zn 2.93-3.07, 4 Zr 3.07

Values from the calculation:
Space group ... No. 119
Formation energy (no corrections) ... -295 meV per atom

[8]
DFT (PBE-GGA) results for a geometry-optimized PmBi2Pd7 structure.

Unit cell a=7.9161 b=7.9161 c=4.4658 alpha=90.00 beta=90.00 gamma=123.45
With the nearest neighbours (Å) after each atom.
Positions (direct):
Pm 0.0000 0.0000 0.0000  10 Pd 2.81-2.99
Bi 0.3051 0.6949 0.5000  5 Pd 2.66-2.72
Bi 0.6949 0.3051 0.5000  5 Pd 2.66-2.72
Pd 0.0761 0.2850 0.5000  1 Bi 2.71, 5 Pd 2.71-2.94, 2 Pm 2.99
Pd 0.2012 0.7988 0.0000  2 Bi 2.66, 1 Pm 2.81, 4 Pd 2.94
Pd 0.2850 0.0761 0.5000  1 Bi 2.71, 5 Pd 2.71-2.94, 2 Pm 2.99
Pd 0.5000 0.5000 0.5000  2 Bi 2.72, 4 Pd 2.80
Pd 0.7150 0.9239 0.5000  1 Bi 2.71, 5 Pd 2.71-2.94, 2 Pm 2.99
Pd 0.7988 0.2012 0.0000  2 Bi 2.66, 1 Pm 2.81, 4 Pd 2.94
Pd 0.9239 0.7150 0.5000  1 Bi 2.71, 5 Pd 2.71-2.94, 2 Pm 2.99

Values from the calculation:
Space group ... No. 65

In eV/atom, the VASP energy values for the records above are, in order, -7.56 -6.36 -7.06 -3.06 -6.59 -4.77 -3.85 -5.04.
In states/eV per cell, the density of states at the Fermi level values for the records above are, in order, 4.150 2.119 8.848 3.987 0.000 2.828 1.043 4.989.